# Zn2WF2 (PBE+U, relaxed)
# - magnetization (μB/atom) = 0.00
# - energy relative to the lowest polymorph listed for this composition (eV/atom) = 0.475
# - total DFT energy (no corrections) (Ry per atom) = -0.2085
data_Zn2WF2
_chemical_formula_sum 'Zn4 W2 F4'
_space_group_name_H-M_alt 'P 1'
_space_group_IT_number 1
_cell_length_a 7.306
_cell_length_b 7.306
_cell_length_c 2.643
_cell_angle_alpha 90.00
_cell_angle_beta 90.00
_cell_angle_gamma 90.00
loop_
_space_group_symop_operation_xyz
'x,y,z'
loop_
_atom_site_label
_atom_site_fract_x
_atom_site_fract_y
_atom_site_fract_z
_atom_site_occupancy
Zn1 0.850 0.650 0.000 1
W1 0.000 0.000 0.000 1
W2 0.500 0.500 0.000 1
Zn2 0.150 0.350 0.000 1
F1 0.117 0.617 0.500 1
Zn3 0.650 0.150 0.000 1
Zn4 0.350 0.850 0.000 1
F2 0.617 0.883 0.500 1
F3 0.883 0.383 0.500 1
F4 0.383 0.117 0.500 1